DFT (GGA-PBE) results for NaAlFeW after structural relaxation.

Computed properties:
Symmetry: No. 216
Offset from the most stable computed form in eV/f.u.: 0.45

Cell lengths 4.367, 4.367, 4.367 Å; angles 60.00, 60.00, 60.00 degrees
Positions (direct):
Na  0.000  0.000  0.000
Al  0.750  0.750  0.750
Fe  0.250  0.250  0.250
W  0.500  0.500  0.500

DFT (GGA-PBE) results for NaAlFeW after structural relaxation.

Computed properties:
Symmetry: No. 216
Offset from the most stable computed form in eV/f.u.: 0.00

Cell lengths 4.302, 4.302, 4.302 Å; angles 60.00, 60.00, 60.00 degrees
Positions (direct):
Na  0.000  0.000  0.000
Al  0.250  0.250  0.250
Fe  0.500  0.500  0.500
W  0.750  0.750  0.750

DFT (GGA-PBE) results for NbAl2Fe after structural relaxation.

Computed properties:
Symmetry: No. 216
Raw total energy in eV per cell: -26.59

Cell lengths 4.335, 4.335, 4.335 Å; angles 60.00, 60.00, 60.00 degrees
Positions (direct):
Nb  0.000  0.000  0.000
Al  0.500  0.500  0.500
Al  0.750  0.750  0.750
Fe  0.250  0.250  0.250

DFT (GGA-PBE) results for NbAlFe2 after structural relaxation.

Computed properties:
Symmetry: No. 123
Raw total energy in eV per cell: -31.67

Cell lengths 4.126, 4.126, 3.037 Å; angles 90.00, 90.00, 90.00 degrees
Positions (direct):
Nb  0.000  0.000  0.000
Al  0.500  0.500  0.000
Fe  0.000  0.500  0.500
Fe  0.500  0.000  0.500

DFT (GGA-PBE) results for NbAlFe2 after structural relaxation.

Computed properties:
Symmetry: No. 194
Raw total energy in eV per cell: -62.05

Cell lengths 4.137, 4.137, 7.496 Å; angles 90.00, 90.00, 120.00 degrees
Positions (direct):
Nb  0.333  0.667  0.250
Nb  0.667  0.333  0.750
Al  0.000  0.000  0.000
Al  0.000  0.000  0.500
Fe  0.333  0.667  0.593
Fe  0.333  0.667  0.907
Fe  0.667  0.333  0.093
Fe  0.667  0.333  0.407

DFT (GGA-PBE) results for Nb2AlFe after structural relaxation.

Computed properties:
Symmetry: No. 216
Raw total energy in eV per cell: -32.13

Cell lengths 4.428, 4.428, 4.428 Å; angles 60.00, 60.00, 60.00 degrees
Positions (direct):
Nb  0.000  0.000  0.000
Nb  0.250  0.250  0.250
Al  0.500  0.500  0.500
Fe  0.750  0.750  0.750

DFT (GGA-PBE) results for NbAl2Fe2 after structural relaxation.

Computed properties:
Symmetry: No. 139
Raw total energy in eV per cell: -34.41

Cell lengths 6.193, 6.193, 6.193 Å; angles 146.42, 146.42, 48.23 degrees
Positions (direct):
Nb  0.000  0.000  0.000
Al  0.394  0.394  0.000
Al  0.606  0.606  0.000
Fe  0.250  0.750  0.500
Fe  0.750  0.250  0.500

DFT (GGA-PBE) results for NbAlFe2 after structural relaxation.

Computed properties:
Symmetry: No. 194
Raw total energy in eV per cell: -59.57

Cell lengths 4.379, 4.379, 6.951 Å; angles 90.00, 90.00, 120.00 degrees
Positions (direct):
Nb  0.000  0.000  0.250
Nb  0.000  0.000  0.750
Al  0.333  0.667  0.250
Al  0.667  0.333  0.750
Fe  0.333  0.667  0.585
Fe  0.333  0.667  0.915
Fe  0.667  0.333  0.085
Fe  0.667  0.333  0.415